VASP calculation (PBE) on a geometry-optimized HfSb3 structure.

## Properties
Formation energy (no corrections)   6.8 kJ/mol of atoms
Electronic total energy   -44.08 eV for the cell shown
Total moment   0.00 μB per cell

```
8
Lattice="6.533 0.000 0.000 -3.267 5.658 0.000 0.000 0.000 5.474" Properties=species:S:1:pos:R:3 pbc="T T T"
Hf 0.000 3.772 1.368
Hf 3.267 1.886 4.105
Sb 0.000 2.022 4.105
Sb -1.516 4.647 4.105
Sb 1.751 1.011 1.368
Sb 1.516 4.647 4.105
Sb 4.782 1.011 1.368
Sb 3.267 3.636 1.368
```